# AcTb2ThP4 (PBE-GGA, relaxed)
data_AcTb2ThP4
_space_group_name_H-M_alt 'P 1 2/m 1'
_space_group_IT_number 10
_cell_length_a 7.1743
_cell_length_b 4.1606
_cell_length_c 7.2280
_cell_angle_alpha 90.00
_cell_angle_beta 109.43
_cell_angle_gamma 90.00
loop_
_space_group_symop_operation_xyz
'x,y,z'
'-x,-y,-z'
'-x,y,-z'
'x,-y,z'
loop_
_atom_site_label
_atom_site_fract_x
_atom_site_fract_y
_atom_site_fract_z
Ac1 0.0000 0.0000 0.0000
Tb1 0.5000 0.0000 0.5000
Tb2 0.5000 0.5000 0.0000
Th1 0.0000 0.5000 0.5000
P1 0.2596 0.0000 0.7445
P2 0.2654 0.5000 0.2651
# Formation energy from the elements: -12.34 eV/f.u.

=====

# Ac2TbThP4 (PBE-GGA, relaxed)
data_Ac2TbThP4
_space_group_name_H-M_alt 'P 1 2/m 1'
_space_group_IT_number 10
_cell_length_a 7.3404
_cell_length_b 4.2535
_cell_length_c 7.4251
_cell_angle_alpha 90.00
_cell_angle_beta 109.30
_cell_angle_gamma 90.00
loop_
_space_group_symop_operation_xyz
'x,y,z'
'-x,-y,-z'
'-x,y,-z'
'x,-y,z'
loop_
_atom_site_label
_atom_site_fract_x
_atom_site_fract_y
_atom_site_fract_z
Ac1 0.0000 0.0000 0.0000
Ac2 0.5000 0.5000 0.0000
Tb1 0.0000 0.5000 0.5000
Th1 0.5000 0.0000 0.5000
P1 0.2420 0.0000 0.7281
P2 0.2558 0.5000 0.2716
# Formation energy from the elements: -12.15 eV/f.u.

=====

# Ac2TbYP4 (PBE-GGA, relaxed)
data_Ac2TbYP4
_space_group_name_H-M_alt 'P 1 2/m 1'
_space_group_IT_number 10
_cell_length_a 7.3311
_cell_length_b 4.2349
_cell_length_c 7.3463
_cell_angle_alpha 90.00
_cell_angle_beta 109.41
_cell_angle_gamma 90.00
loop_
_space_group_symop_operation_xyz
'x,y,z'
'-x,-y,-z'
'-x,y,-z'
'x,-y,z'
loop_
_atom_site_label
_atom_site_fract_x
_atom_site_fract_y
_atom_site_fract_z
Ac1 0.0000 0.0000 0.0000
Ac2 0.5000 0.5000 0.0000
Tb1 0.0000 0.5000 0.5000
Y1 0.5000 0.0000 0.5000
P1 0.2428 0.0000 0.7278
P2 0.2576 0.5000 0.2724
# Formation energy from the elements: -12.01 eV/f.u.

=====

# Ac2TcP (PBE-GGA, relaxed)
data_Ac2TcP
_space_group_name_H-M_alt 'R -3 m'
_space_group_IT_number 166
_space_group_name_Hall '-R 3 2"'
_cell_length_a 4.2819
_cell_length_b 4.2819
_cell_length_c 23.0649
_cell_angle_alpha 90.00
_cell_angle_beta 90.00
_cell_angle_gamma 120.00
loop_
_atom_site_label
_atom_site_fract_x
_atom_site_fract_y
_atom_site_fract_z
Ac1 0.0000 0.0000 0.2476
Tc1 0.0000 0.0000 0.0000
P1 0.0000 0.0000 0.5000
# ΔE to the lowest computed polymorph: 0.22 eV per formula unit
# Formation energy from the elements: -0.38 eV/f.u.

=====

# AcTcP (PBE-GGA, relaxed)
data_AcTcP
_space_group_name_H-M_alt 'P 1 21/c 1'
_space_group_IT_number 14
_cell_length_a 6.3419
_cell_length_b 5.8975
_cell_length_c 7.7154
_cell_angle_alpha 90.00
_cell_angle_beta 112.20
_cell_angle_gamma 90.00
loop_
_space_group_symop_operation_xyz
'x,y,z'
'-x,-y,-z'
'-x,y+1/2,-z+1/2'
'x,-y+1/2,z+1/2'
loop_
_atom_site_label
_atom_site_fract_x
_atom_site_fract_y
_atom_site_fract_z
Ac1 0.1893 0.1442 0.3766
Tc1 0.4207 0.5978 0.3081
P1 0.2733 0.6589 0.5442
# ΔE to the lowest computed polymorph: 0.00 eV per formula unit
# Formation energy from the elements: -2.12 eV/f.u.

=====

# Ac2TcP (PBE-GGA, relaxed)
data_Ac2TcP
_space_group_name_H-M_alt 'P 4/m m m'
_space_group_IT_number 123
_space_group_name_Hall '-P 4 2'
_cell_length_a 5.1761
_cell_length_b 5.1761
_cell_length_c 3.8774
_cell_angle_alpha 90.00
_cell_angle_beta 90.00
_cell_angle_gamma 90.00
loop_
_atom_site_label
_atom_site_fract_x
_atom_site_fract_y
_atom_site_fract_z
Ac1 0.0000 0.5000 0.0000
Tc1 0.0000 0.0000 0.5000
P1 0.5000 0.5000 0.5000
# ΔE to the lowest computed polymorph: 0.00 eV per formula unit
# Formation energy from the elements: -0.60 eV/f.u.

=====

Q: Which of these has the highest formation energy from the elements?
A: number 4

=====

Q: The lowest formation energy from the elements belongs to which entry?
A: AcTb2ThP4